Computed, not measured: an optimized crystal structure of La6Pm5Nd2 at the GGA-PBE level of DFT.

Cell and atoms, written as POSCAR:
```
La6Pm5Nd2
1.0
12.040 0.000 0.000
0.000 21.177 0.000
0.000 0.000 3.699
La Pm Nd
12 10 4
Direct
0.060 0.078 0.000
0.080 0.366 0.000
0.179 0.632 0.500
0.321 0.132 0.500
0.420 0.866 0.000
0.440 0.578 0.000
0.560 0.422 0.000
0.580 0.134 0.000
0.679 0.868 0.500
0.821 0.368 0.500
0.920 0.634 0.000
0.940 0.922 0.000
0.000 0.500 0.500
0.090 0.224 0.500
0.199 0.944 0.500
0.301 0.444 0.500
0.410 0.724 0.500
0.500 0.000 0.500
0.590 0.276 0.500
0.699 0.556 0.500
0.801 0.056 0.500
0.910 0.776 0.500
0.168 0.786 0.000
0.332 0.286 0.000
0.668 0.714 0.000
0.832 0.214 0.000
```

calculated formation energy = 2.17 kcal/mol of atoms

***

Computed, not measured: an optimized crystal structure of NdHf2Ga6 at the GGA-PBE level of DFT.

Cell and atoms, written as POSCAR:
```
NdHf2Ga6
1.0
-2.093 3.440 6.375
2.093 -3.440 6.375
2.093 3.440 -6.375
Nd Hf Ga
1 2 6
Direct
0.000 0.000 0.000
0.380 0.880 0.500
0.620 0.120 0.500
0.018 0.308 0.709
0.318 0.500 0.818
0.401 0.692 0.709
0.599 0.308 0.291
0.682 0.500 0.182
0.982 0.692 0.291
```

calculated formation energy = -8.84 kcal/mol of atoms

***

Computed, not measured: an optimized crystal structure of Y2TiHgAs at the GGA-PBE level of DFT.

Cell and atoms, written as POSCAR:
```
Y2TiHgAs
1.0
5.647 0.000 0.000
0.000 5.647 0.000
0.000 0.000 5.034
Y Ti Hg As
2 1 1 1
Direct
0.000 0.500 0.000
0.500 0.000 0.000
0.000 0.000 0.500
0.500 0.500 0.000
0.500 0.500 0.500
```

calculated formation energy = 16.48 kcal/mol of atoms

***

Computed, not measured: an optimized crystal structure of YReAu2 at the GGA-PBE level of DFT.

Cell and atoms, written as POSCAR:
```
YReAu2
1.0
2.992 0.000 0.000
0.000 2.992 0.000
0.000 0.000 8.535
Y Re Au
1 1 2
Direct
0.000 0.000 0.000
0.500 0.500 0.736
0.000 0.000 0.519
0.500 0.500 0.266
```

calculated formation energy = 3.80 kcal/mol of atoms
offset from the most stable computed form = 138 meV/atom

***

Computed, not measured: an optimized crystal structure of La2DyTm3Se6 at the GGA-PBE level of DFT.

Cell and atoms, written as POSCAR:
```
La2DyTm3Se6
1.0
9.053 -2.034 0.000
9.053 2.034 0.000
-2.181 0.000 8.096
La Dy Tm Se
2 1 3 6
Direct
0.167 0.167 0.333
0.833 0.833 0.667
0.500 0.500 0.000
0.169 0.169 0.834
0.500 0.500 0.500
0.831 0.831 0.166
0.007 0.007 0.749
0.333 0.333 0.934
0.339 0.339 0.403
0.661 0.661 0.597
0.667 0.667 0.066
0.993 0.993 0.251
```

uncorrected formation energy = -1.7894 eV/atom

***

Computed, not measured: an optimized crystal structure of Ho6Sn2Pd at the GGA-PBE level of DFT.

Cell and atoms, written as POSCAR:
```
Ho6Sn2Pd
1.0
8.520 0.000 0.000
-4.260 7.378 0.000
0.000 0.000 3.906
Ho Sn Pd
6 2 1
Direct
0.000 0.400 0.000
0.000 0.752 0.500
0.248 0.248 0.500
0.400 0.000 0.000
0.600 0.600 0.000
0.752 0.000 0.500
0.333 0.667 0.500
0.667 0.333 0.500
0.000 0.000 0.000
```

calculated formation energy = -13.23 kcal/mol of atoms

***

no.,raw total energy (eV/atom)
1,-4.741
2,-5.143
3,-4.440
4,-6.202
5,-5.854
6,-5.092